Record 1
A relaxed structure of HoThSn, computed with PBE-GGA.

Computed properties:
calculated formation energy = -14 kJ/mol of formula units
E = -0.39552 Ry per atom

a b c (Å): 8.145 8.145 6.232
angles (deg): 90.00 90.00 90.00
Space group P4_2/mmc (No. 131)
Asymmetric unit:
Ho  0.000  0.205  0.000
Th  0.229  0.500  0.500
Sn  0.230  0.500  0.000

=====

Record 2
A relaxed structure of CsRbSr2Li, computed with PBE-GGA.

Computed properties:
calculated formation energy = 95 kJ/mol of formula units
E = -0.08989 Ry per atom

a b c (Å): 6.777 6.777 7.296
angles (deg): 90.00 90.00 90.00
Space group P4/mmm (No. 123)
Asymmetric unit:
Cs  0.000  0.000  0.000
Rb  0.500  0.500  0.000
Sr  0.000  0.500  0.500
Li  0.500  0.500  0.500

=====

Record 3
A relaxed structure of LuSc2, computed with PBE-GGA.

Computed properties:
calculated formation energy = 61 kJ/mol of formula units
E = -0.40542 Ry per atom

a b c (Å): 8.724 8.724 8.724
angles (deg): 90.00 90.00 90.00
Space group Fd-3m (No. 227, origin choice 2)
Asymmetric unit:
Lu  0.125  0.125  0.125
Sc  0.000  0.000  0.500

=====

Record 4
A relaxed structure of HoCd2Au, computed with PBE-GGA.

Computed properties:
calculated formation energy = -151 kJ/mol of formula units
E = -0.20677 Ry per atom

a b c (Å): 4.298 4.298 4.917
angles (deg): 90.00 90.00 90.00
Space group P4/mmm (No. 123)
Asymmetric unit:
Ho  0.000  0.000  0.000
Cd  0.000  0.500  0.500
Au  0.500  0.500  0.000

=====

Record 5
A relaxed structure of PaZnPt3, computed with PBE-GGA.

Computed properties:
calculated formation energy = -286 kJ/mol of formula units
E = -0.46823 Ry per atom

a b c (Å): 5.3818 5.3818 23.4128
angles (deg): 90.00 90.00 120.00
Space group R-3m (No. 166, hexagonal axes)
Asymmetric unit:
Pa  0.0000  0.0000  0.1953
Zn  0.0000  0.0000  0.3230
Pt  0.0000  0.5000  0.2489

=====

Record 6
A relaxed structure of NdSmYEr2, computed with PBE-GGA.

Computed properties:
calculated formation energy = 182 kJ/mol of formula units
E = -0.34087 Ry per atom

a b c (Å): 8.381 11.540 7.195
angles (deg): 90.00 90.00 90.00
Space group Cmcm (No. 63)
Asymmetric unit:
Nd  0.000  0.221  0.250
Sm  0.000  0.488  0.250
Y  0.000  0.228  0.750
Er  0.188  0.000  0.000